Tb3Er3In2: optimized geometry, PBE.

Cell: 4.8324 4.8331 9.6688 Å, 90.00 90.00 90.00°
Last column: nearest neighbours and their distance in Å.
Space group Pmmm (No. 47)
One atom of each set of equivalent atoms:
1 Tb 0.0000 0.0000 0.0000  4 Tb 3.42, 4 Er 3.42, 4 In 3.43
2 Tb 0.0000 0.0000 0.5000  4 In 3.41, 8 Er 3.41-3.42
3 Tb 0.5000 0.5000 0.0000  4 Tb 3.42, 4 Er 3.42, 4 In 3.43
4 Er 0.5000 0.0000 0.2507  6 Tb 3.41-3.42, 2 Er 3.41, 4 In 3.42
5 Er 0.5000 0.5000 0.5000  4 In 3.41, 4 Er 3.41, 4 Tb 3.42
6 In 0.0000 0.5000 0.2512  6 Er 3.41-3.42, 6 Tb 3.41-3.43

Summary:
- E_form (meV/atom) = -265